PBE Tb2DyTh3, relaxed; offset from the most stable computed form = 0.153 eV/atom
1.0
6.729 0.000 0.001
0.000 9.815 -5.622
-0.001 -2.367 7.245
Tb Dy Th
4 2 6
Cartesian
5.046 3.498 -0.040
1.682 3.949 1.664
1.682 8.010 -2.625
5.046 -0.562 4.249
1.682 2.254 -1.291
5.047 7.560 -4.330
6.729 0.847 1.478
3.364 6.601 0.146
0.000 4.907 -2.811
3.364 4.907 -2.811
0.000 6.601 0.146
3.364 0.846 1.478

---

PBE TbDy4Th2, relaxed; offset from the most stable computed form = 0.000 eV/atom
1.0
-1.744 -1.765 -2.444
-1.669 -5.049 6.606
-5.788 6.431 -2.302
Tb Dy Th
1 4 2
Cartesian
0.000 0.000 0.000
-5.169 -0.570 2.580
-6.092 2.089 -2.889
-4.031 0.187 -0.720
-3.108 -2.472 4.748
-2.180 -1.967 1.419
-7.020 1.584 0.441

---

PBE Tb12DyTh6, relaxed; offset from the most stable computed form = 0.114 eV/atom
1.0
9.336 0.000 0.000
-3.112 8.802 0.000
-3.112 -4.401 7.623
Tb Dy Th
12 1 6
Cartesian
-0.293 -2.929 6.170
0.448 3.149 1.452
2.664 1.252 6.170
3.405 7.330 1.452
-2.664 5.970 2.001
2.819 0.522 2.001
0.293 3.879 5.622
5.776 -1.569 5.622
6.517 1.994 0.548
-0.448 0.317 3.453
3.560 4.084 4.170
-3.405 2.407 7.074
0.000 0.000 0.000
-0.907 0.641 6.512
4.019 3.760 1.110
0.907 5.960 2.701
2.205 -1.559 4.922
5.317 0.918 3.811
-2.205 3.483 3.811

---

no.,electronic total energy (eV per atom),magnetization (μB per atom),energy relative to the elements (kJ per mole of atoms)
1,-5.837,0.00,17.7
2,-5.295,0.00,11.2
3,-5.233,0.00,26.7